# 1
An optimized crystal structure of MgTlAuO4, computed with PBE.

Cell: 6.2009 6.3388 10.5288 Å, 90.00 90.00 90.00°
With the nearest neighbours (Å) after each atom.
Space group Imma (No. 74)
One atom of each set of equivalent atoms:
1 Mg 0.0000 0.2500 0.1420 (multiplicity 4)  4 O 1.94-2.15
2 Tl 0.0000 0.0000 0.5000 (multiplicity 4)  4 O 2.21
3 Au 0.2500 0.2500 0.7500 (multiplicity 4)  4 O 2.06
4 O 0.0000 0.0359 0.7483 (multiplicity 8)  2 Au 2.06, 1 Mg 2.15
5 O 0.2376 0.2500 0.4590 (multiplicity 8)  1 Mg 1.94

Output
* E_tot: -133.40 eV/cell
* E_form (uncorrected): -0.897 eV/atom

# 2
An optimized crystal structure of TmMgAuO4, computed with PBE.

Cell: 6.2315 6.4707 9.8206 Å, 90.00 90.00 90.00°
With the nearest neighbours (Å) after each atom.
Space group Imma (No. 74)
One atom of each set of equivalent atoms:
1 Tm 0.0000 0.0000 0.0000 (multiplicity 4)  6 O 2.21-2.35
2 Mg 0.0000 0.2500 0.3567 (multiplicity 4)  2 O 1.93
3 Au 0.2500 0.2500 0.7500 (multiplicity 4)  4 O 2.07
4 O 0.0000 0.0401 0.7626 (multiplicity 8)  2 Au 2.07, 1 Mg 2.21
5 O 0.2291 0.2500 0.0472 (multiplicity 8)  1 Mg 1.93

Output
* E_tot: -170.87 eV/cell
* E_form (uncorrected): -1.934 eV/atom